Density functional theory data (PBE) for an optimized crystal structure of TcSn3S.

Output
* density: 6.01 g cm⁻³
* E_tot: -25.58 eV/cell
* total magnetic moment: 0.00 μB/atom
* crystal system: cubic
* ΔE_f (raw): 0.92 eV per formula unit
* symmetry: No. 221

Structure (CIF):
```
data_TcSn3S
_chemical_formula_sum 'Tc1 Sn3 S1'
_cell_length_a 5.120
_cell_length_b 5.120
_cell_length_c 5.120
_cell_angle_alpha 90.00
_cell_angle_beta 90.00
_cell_angle_gamma 90.00
_symmetry_space_group_name_H-M 'P 1'
_symmetry_Int_Tables_number 1
loop_
_symmetry_equiv_pos_as_xyz
'x,y,z'
loop_
_atom_site_label
_atom_site_type_symbol
_atom_site_fract_x
_atom_site_fract_y
_atom_site_fract_z
_atom_site_occupancy
Sn1 Sn 0.000 0.000 0.500 1
Sn2 Sn 0.000 0.500 0.000 1
Sn3 Sn 0.500 0.000 0.000 1
Tc1 Tc 0.000 0.000 0.000 1
S1 S 0.500 0.500 0.500 1
```